# InW2Au (GGA-PBE, relaxed)
# calculated formation energy	1.69	eV per formula unit
# N(E_F)	1.6	states/eV per cell
# volume	17.9	Å³/atom
data_InW2Au
_chemical_formula_sum 'In1 W2 Au1'
_cell_length_a 2.853
_cell_length_b 4.440
_cell_length_c 5.727
_cell_angle_alpha 90.00
_cell_angle_beta 99.46
_cell_angle_gamma 90.00
_symmetry_space_group_name_H-M 'P 1 m 1'
_symmetry_Int_Tables_number 6
_symmetry_space_group_name_Hall 'P -2y'
loop_
_atom_site_label
_atom_site_type_symbol
_atom_site_fract_x
_atom_site_fract_y
_atom_site_fract_z
In1 In 0.000 0.000 0.000
W1 W 0.392 0.000 0.484
W2 W 0.601 0.500 0.259
Au1 Au 0.959 0.500 0.736

=====

# InW2Au (GGA-PBE, relaxed)
# calculated formation energy	4.56	eV per formula unit
# N(E_F)	13.4	states/eV per cell
# volume	19.3	Å³/atom
data_InW2Au
_chemical_formula_sum 'In4 W8 Au4'
_cell_length_a 7.536
_cell_length_b 7.536
_cell_length_c 5.451
_cell_angle_alpha 90.00
_cell_angle_beta 90.00
_cell_angle_gamma 90.00
_symmetry_space_group_name_H-M 'I -4 2 d'
_symmetry_Int_Tables_number 122
_symmetry_space_group_name_Hall 'I -4 2bw'
loop_
_atom_site_label
_atom_site_type_symbol
_atom_site_fract_x
_atom_site_fract_y
_atom_site_fract_z
In1 In 0.000 0.000 0.000
W1 W 0.237 0.250 0.625
Au1 Au 0.000 0.000 0.500

=====

# InW2Au (GGA-PBE, relaxed)
# calculated formation energy	1.44	eV per formula unit
# N(E_F)	2.2	states/eV per cell
# volume	18.0	Å³/atom
data_InW2Au
_chemical_formula_sum 'In1 W2 Au1'
_cell_length_a 3.383
_cell_length_b 3.383
_cell_length_c 6.302
_cell_angle_alpha 90.00
_cell_angle_beta 90.00
_cell_angle_gamma 90.00
_symmetry_space_group_name_H-M 'P 4 m m'
_symmetry_Int_Tables_number 99
_symmetry_space_group_name_Hall 'P 4 -2'
loop_
_atom_site_label
_atom_site_type_symbol
_atom_site_fract_x
_atom_site_fract_y
_atom_site_fract_z
In1 In 0.000 0.000 0.000
W1 W 0.000 0.000 0.475
W2 W 0.500 0.500 0.292
Au1 Au 0.500 0.500 0.757

=====

# In2WAu (GGA-PBE, relaxed)
# calculated formation energy	3.13	eV per formula unit
# distance to the lowest polymorph of the same formula	0.440	eV per atom
# N(E_F)	3.2	states/eV per cell
# volume	21.2	Å³/atom
data_In2WAu
_chemical_formula_sum 'In8 W4 Au4'
_cell_length_a 7.581
_cell_length_b 7.581
_cell_length_c 5.898
_cell_angle_alpha 90.00
_cell_angle_beta 90.00
_cell_angle_gamma 90.00
_symmetry_space_group_name_H-M 'I -4 2 d'
_symmetry_Int_Tables_number 122
_symmetry_space_group_name_Hall 'I -4 2bw'
loop_
_atom_site_label
_atom_site_type_symbol
_atom_site_fract_x
_atom_site_fract_y
_atom_site_fract_z
In1 In 0.240 0.250 0.125
W1 W 0.000 0.000 0.500
Au1 Au 0.000 0.000 0.000